1.
{"formula": "Tl2HF4", "functional": "GGA-PBE", "state": "optimized geometry", "energy_ev_per_atom": -3.880, "lattice_angstrom": [[4.720, 0.000, 0.000], [0.000, 6.316, 0.000], [-1.811, 0.000, 8.008]], "species": ["Tl", "Tl", "Tl", "Tl", "H", "H", "F", "F", "F", "F", "F", "F", "F", "F"], "frac_coords": [[0.133, 0.250, 0.486], [0.196, 0.750, 0.136], [0.804, 0.250, 0.864], [0.867, 0.750, 0.514], [0.416, 0.750, 0.788], [0.584, 0.250, 0.212], [0.130, 0.507, 0.719], [0.130, 0.993, 0.719], [0.366, 0.750, 0.466], [0.385, 0.250, 0.151], [0.615, 0.750, 0.849], [0.634, 0.250, 0.534], [0.870, 0.007, 0.281], [0.870, 0.493, 0.281]]}


2.
{"formula": "TlHF4", "functional": "GGA-PBE", "state": "optimized geometry", "polymorph_energy_ev_per_atom": 0.039, "lattice_angstrom": [[-3.411, 3.411, 3.446], [3.411, -3.411, 3.446], [3.411, 3.411, -3.446]], "species": ["Tl", "Tl", "H", "H", "F", "F", "F", "F", "F", "F", "F", "F"], "frac_coords": [[0.000, 0.000, 0.000], [0.750, 0.250, 0.500], [0.378, 0.878, 0.500], [0.628, 0.628, 0.000], [0.026, 0.332, 0.306], [0.026, 0.720, 0.694], [0.082, 0.276, 0.806], [0.247, 0.912, 0.335], [0.470, 0.276, 0.194], [0.578, 0.912, 0.665], [0.662, 0.497, 0.835], [0.662, 0.828, 0.165]]}


3.
{"formula": "TlHF4", "functional": "GGA-PBE", "state": "optimized geometry", "polymorph_energy_ev_per_atom": 0.000, "lattice_angstrom": [[2.775, -6.582, 0.000], [2.775, 6.582, 0.000], [-2.360, 0.000, 4.692]], "species": ["Tl", "Tl", "H", "H", "F", "F", "F", "F", "F", "F", "F", "F"], "frac_coords": [[0.172, 0.828, 0.750], [0.828, 0.172, 0.250], [0.434, 0.566, 0.250], [0.566, 0.434, 0.750], [0.031, 0.423, 0.711], [0.224, 0.344, 0.227], [0.344, 0.224, 0.727], [0.423, 0.031, 0.211], [0.577, 0.969, 0.789], [0.656, 0.776, 0.273], [0.776, 0.656, 0.773], [0.969, 0.577, 0.289]]}


4.
{"formula": "TlHF3", "functional": "GGA-PBE", "state": "optimized geometry", "polymorph_energy_ev_per_atom": 0.000, "lattice_angstrom": [[4.944, -5.213, 0.000], [4.944, 5.213, 0.000], [-2.025, 0.000, 5.523]], "species": ["Tl", "Tl", "Tl", "Tl", "H", "H", "H", "H", "F", "F", "F", "F", "F", "F", "F", "F", "F", "F", "F", "F"], "frac_coords": [[0.098, 0.902, 0.750], [0.393, 0.607, 0.250], [0.607, 0.393, 0.750], [0.902, 0.098, 0.250], [0.049, 0.448, 0.784], [0.448, 0.049, 0.284], [0.552, 0.951, 0.716], [0.951, 0.552, 0.216], [0.062, 0.671, 0.311], [0.166, 0.590, 0.893], [0.319, 0.409, 0.454], [0.329, 0.938, 0.189], [0.409, 0.319, 0.954], [0.410, 0.834, 0.607], [0.590, 0.166, 0.393], [0.591, 0.681, 0.046], [0.671, 0.062, 0.811], [0.681, 0.591, 0.546], [0.834, 0.410, 0.107], [0.938, 0.329, 0.689]]}


5.
{"formula": "Tl2HF", "functional": "GGA-PBE", "state": "optimized geometry", "polymorph_energy_ev_per_atom": 0.047, "lattice_angstrom": [[4.817, 0.000, 0.000], [0.000, 4.817, 0.000], [0.000, 0.000, 3.372]], "species": ["Tl", "Tl", "H", "F"], "frac_coords": [[0.000, 0.500, 0.000], [0.500, 0.000, 0.000], [0.000, 0.000, 0.500], [0.500, 0.500, 0.500]]}


6.
{"formula": "Tl2H3F4", "functional": "GGA-PBE", "state": "optimized geometry", "energy_ev_per_atom": -3.550, "lattice_angstrom": [[6.445, 0.000, 0.000], [2.855, 6.578, 0.000], [2.857, 2.300, 7.050]], "species": ["Tl", "Tl", "Tl", "Tl", "H", "H", "H", "H", "H", "H", "F", "F", "F", "F", "F", "F", "F", "F"], "frac_coords": [[0.206, 0.443, 0.267], [0.254, 0.115, 0.881], [0.746, 0.885, 0.119], [0.794, 0.557, 0.733], [0.009, 0.972, 0.466], [0.438, 0.001, 0.513], [0.477, 0.417, 0.261], [0.523, 0.583, 0.739], [0.562, 0.999, 0.487], [0.991, 0.028, 0.534], [0.078, 0.277, 0.601], [0.108, 0.525, 0.774], [0.153, 0.793, 0.998], [0.363, 0.132, 0.126], [0.637, 0.868, 0.874], [0.847, 0.207, 0.002], [0.892, 0.475, 0.226], [0.922, 0.723, 0.399]]}


7.
{"formula": "Tl3H4F", "functional": "GGA-PBE", "state": "optimized geometry", "energy_ev_per_atom": -2.705, "lattice_angstrom": [[-1.711, 2.431, 7.458], [1.711, -2.431, 7.458], [1.711, 2.431, -7.458]], "species": ["Tl", "Tl", "Tl", "H", "H", "H", "H", "F"], "frac_coords": [[0.000, 0.000, 0.000], [0.327, 0.827, 0.500], [0.673, 0.173, 0.500], [0.055, 0.327, 0.728], [0.402, 0.673, 0.728], [0.598, 0.327, 0.272], [0.945, 0.673, 0.272], [0.500, 0.500, 0.000]]}


8.
{"formula": "Tl2HF3", "functional": "GGA-PBE", "state": "optimized geometry", "polymorph_energy_ev_per_atom": 0.000, "lattice_angstrom": [[4.310, 0.000, 0.000], [-0.096, 7.678, 0.000], [-2.106, -3.830, 7.334]], "species": ["Tl", "Tl", "Tl", "Tl", "H", "H", "F", "F", "F", "F", "F", "F"], "frac_coords": [[0.006, 0.263, 0.001], [0.288, 0.789, 0.578], [0.712, 0.211, 0.422], [0.994, 0.737, 0.999], [0.367, 0.368, 0.733], [0.633, 0.632, 0.267], [0.108, 0.106, 0.214], [0.358, 0.517, 0.732], [0.374, 0.218, 0.733], [0.626, 0.782, 0.267], [0.642, 0.483, 0.268], [0.892, 0.894, 0.786]]}


Question: Which formula does entry 1 have?
Answer: Tl2HF4